# 1
# RbLiIn2

A relaxed RbLiIn2 crystal (GGA-PBE, the Alexandria database).

Cell: 5.5162 5.5162 11.1863 Å, 75.73 75.73 90.00°
Positions (direct):
In1 0.8750 0.6984 0.7500
Li1 0.5000 0.5000 0.0000
In2 0.3016 0.6250 0.2500
In3 0.3750 0.5516 0.7500
Li2 0.2500 0.7500 0.5000
In4 0.4484 0.1250 0.2500
Rb1 0.0000 0.0000 0.0000
Rb2 0.7500 0.2500 0.5000

Calculated values
- Formation energy from the elements: 0.06 eV per atom
- Relative energy among the computed polymorphs: 227.7 meV per atom
- Density: 3.35 g cm⁻³

---

# 2
# RbLi2In2

A relaxed RbLi2In2 crystal (GGA-PBE, the Alexandria database).

Cell: 8.9790 8.9790 3.2954 Å, 90.00 90.00 90.00°
Positions (direct):
Li1 0.1667 0.3333 0.0000
In1 0.6200 0.8800 0.5000
Rb1 0.0000 0.0000 0.0000
In2 0.3800 0.1200 0.5000
Rb2 0.5000 0.5000 0.0000
Li2 0.6667 0.1667 0.0000
In3 0.1200 0.6200 0.5000
Li3 0.8333 0.6667 0.0000
In4 0.8800 0.3800 0.5000
Li4 0.3333 0.8333 0.0000

Calculated values
- Formation energy from the elements: -0.11 eV per atom
- Relative energy among the computed polymorphs: 0.0 meV per atom
- Density: 4.11 g cm⁻³

---

# 3
# RbLi2InRe

A relaxed RbLi2InRe crystal (GGA-PBE, the Alexandria database).

Cell: 5.4211 5.2682 5.4211 Å, 90.00 90.00 90.00°
Site moments in Bohr magnetons follow the coordinates.
Positions (direct):
Re1 0.0000 0.5000 0.0000  2.29
In1 0.0000 0.0000 0.0000  -0.09
Li1 0.5000 0.0000 0.0000  -0.01
Li2 0.0000 0.0000 0.5000  -0.03
Rb1 0.5000 0.5000 0.5000  0.00

Calculated values
- Formation energy from the elements: 0.91 eV per atom
- Density: 4.29 g cm⁻³

---

# 4
# RbLiIn2Sb

A relaxed RbLiIn2Sb crystal (GGA-PBE, the Alexandria database).

Cell: 5.8772 6.8670 5.8772 Å, 90.00 90.00 90.00°
Positions (direct):
In1 0.0000 0.0000 0.5000
Sb1 0.0000 0.0000 0.0000
In2 0.5000 0.0000 0.0000
Rb1 0.0000 0.5000 0.0000
Li1 0.5000 0.5000 0.5000

Calculated values
- Raw formation energy: 0.29 eV/atom
- Density: 3.11 g cm⁻³

---

# 5
# RbLiInSe

A relaxed RbLiInSe crystal (GGA-PBE, the Alexandria database).

Cell: 4.3349 4.3349 13.9152 Å, 90.00 90.00 90.00°
Positions (direct):
In1 0.2500 0.7500 0.5000
In2 0.7500 0.2500 0.5000
Li1 0.7500 0.2500 0.0000
Li2 0.2500 0.7500 0.0000
Rb1 0.7500 0.7500 0.2123
Se1 0.7500 0.7500 0.8954
Se2 0.2500 0.2500 0.1046
Rb2 0.2500 0.2500 0.7877

Calculated values
- Raw formation energy: -0.75 eV/atom
- Density: 3.63 g cm⁻³

---

# 6
# RbLiInSe2

A relaxed RbLiInSe2 crystal (GGA-PBE, the Alexandria database).

Cell: 6.3252 6.7788 8.1836 Å, 114.47 90.00 90.00°
Positions (direct):
Se1 0.2616 0.3815 0.7630
Se2 0.2616 0.1185 0.2370
Se3 0.7384 0.6185 0.2370
In1 0.5000 0.2500 0.0000
Li1 0.0000 0.0000 0.0000
Se4 0.7384 0.8815 0.7630
Rb1 0.7476 0.2500 0.5000
Li2 0.0000 0.5000 0.0000
In2 0.5000 0.7500 0.0000
Rb2 0.2524 0.7500 0.5000

Calculated values
- Relative energy among the computed polymorphs: 0.0 meV per atom
- Raw formation energy: -0.76 eV/atom
- Density: 3.80 g cm⁻³

---

# 7
# RbLiInSe2

A relaxed RbLiInSe2 crystal (GGA-PBE, the Alexandria database).

Cell: 5.1864 5.1312 5.1864 Å, 90.00 90.00 90.00°
Positions (direct):
Li1 0.0000 0.0000 0.0000
In1 0.0000 0.5000 0.0000
Rb1 0.5000 0.5000 0.5000
Se1 0.5000 0.0000 0.0000
Se2 0.0000 0.0000 0.5000

Calculated values
- Relative energy among the computed polymorphs: 299.0 meV per atom
- Raw formation energy: -0.46 eV/atom
- Density: 4.39 g cm⁻³

---

# 8
# RbLi2InSn

A relaxed RbLi2InSn crystal (GGA-PBE, the Alexandria database).

Cell: 5.4448 5.4448 5.8664 Å, 90.00 90.00 90.00°
Positions (direct):
In1 0.0000 0.0000 0.5000
Li1 0.5000 0.0000 0.0000
Li2 0.0000 0.5000 0.0000
Sn1 0.0000 0.0000 0.0000
Rb1 0.5000 0.5000 0.5000

Calculated values
- Formation energy from the elements: -0.09 eV per atom
- Density: 3.18 g cm⁻³

---

# 9
# RbLi2InTc

A relaxed RbLi2InTc crystal (GGA-PBE, the Alexandria database).

Cell: 5.2781 6.2488 5.2781 Å, 90.00 90.00 90.00°
Site moments in Bohr magnetons follow the coordinates.
Positions (direct):
Rb1 0.0000 0.5000 0.0000  0.03
Li1 0.5000 0.0000 0.0000  0.00
Tc1 0.0000 0.0000 0.0000  2.63
In1 0.5000 0.5000 0.5000  -0.04
Li2 0.0000 0.0000 0.5000  -0.01

Calculated values
- Formation energy from the elements: 1.15 eV per atom
- Density: 2.98 g cm⁻³

---

# 10
# RbLiInTe

A relaxed RbLiInTe crystal (GGA-PBE, the Alexandria database).

Cell: 4.5124 4.5124 14.4681 Å, 90.00 90.00 90.00°
Positions (direct):
Rb1 0.2500 0.2500 0.7706
Li1 0.2500 0.7500 0.0000
Li2 0.7500 0.2500 0.0000
In1 0.7500 0.2500 0.5000
Te1 0.7500 0.7500 0.8850
Te2 0.2500 0.2500 0.1150
In2 0.2500 0.7500 0.5000
Rb2 0.7500 0.7500 0.2294

Calculated values
- Raw formation energy: -0.62 eV/atom
- Density: 3.77 g cm⁻³

---

# 11
# Rb2LiIn2Te4

A relaxed Rb2LiIn2Te4 crystal (GGA-PBE, the Alexandria database).

Cell: 5.2074 8.2606 8.3419 Å, 104.43 90.00 108.37°
Positions (direct):
Te1 0.2046 0.4091 0.1744
Te2 0.5042 0.0085 0.2465
Te3 0.4958 0.9915 0.7535
In1 0.3525 0.7050 0.9741
In2 0.6475 0.2950 0.0259
Li1 0.0000 0.0000 0.0000
Rb1 0.8711 0.7422 0.4234
Rb2 0.1289 0.2578 0.5766
Te4 0.7954 0.5909 0.8256

Calculated values
- Raw formation energy: -0.67 eV/atom
- Density: 4.64 g cm⁻³

---

# 12
# RbLiIn2Te4

A relaxed RbLiIn2Te4 crystal (GGA-PBE, the Alexandria database).

Cell: 6.5742 8.9144 8.9144 Å, 43.23 68.36 68.36°
Positions (direct):
Te1 0.5739 0.4261 0.8577
Li1 0.5000 0.5000 0.5000
In1 0.7500 0.7500 0.7500
Te2 0.4262 0.1423 0.5739
Te3 0.1423 0.8577 0.4261
Rb1 0.0000 0.0000 0.0000
In2 0.2500 0.2500 0.2500
Te4 0.8577 0.5739 0.1423

Calculated values
- Raw formation energy: -0.54 eV/atom
- Density: 4.21 g cm⁻³

---

no.,DOS at the Fermi energy (states/eV/f.u.)
1,1.1
2,2.6
3,4.9
4,3.5
5,2.8
6,2.7
7,3.4
8,1.0
9,5.7
10,2.2
11,0.7
12,2.2